# Sm2Cd2Pb, relaxed, DFT GGA-PBE
data_Sm2Cd2Pb
_chemical_formula_sum 'Sm4 Cd4 Pb2'
_cell_length_a 10.659
_cell_length_b 4.556
_cell_length_c 6.237
_cell_angle_alpha 90.00
_cell_angle_beta 95.12
_cell_angle_gamma 90.00
_space_group_name_H-M_alt 'C 1 2/m 1'
_space_group_IT_number 12
_space_group_name_Hall '-C 2y'
loop_
_atom_site_label
_atom_site_fract_x
_atom_site_fract_y
_atom_site_fract_z
Sm1 0.200 0.000 0.214
Cd1 0.093 0.000 0.684
Pb1 0.000 0.500 0.000
# Fermi-level density of states   7.429 states/eV/cell
# Mass density   8.1 g cm⁻³
# Calculated total energy   -3.217 eV/atom
# Magnetic moment   0.00 μB/cell
# ΔH_f (0 K)   -1.11 eV/f.u.


# Sm2CdPb5, relaxed, DFT GGA-PBE
data_Sm2CdPb5
_chemical_formula_sum 'Sm4 Cd2 Pb10'
_cell_length_a 6.788
_cell_length_b 13.588
_cell_length_c 4.958
_cell_angle_alpha 90.00
_cell_angle_beta 90.00
_cell_angle_gamma 90.00
_space_group_name_H-M_alt 'P b a m'
_space_group_IT_number 55
_space_group_name_Hall '-P 2 2ab'
loop_
_atom_site_label
_atom_site_fract_x
_atom_site_fract_y
_atom_site_fract_z
Sm1 0.231 0.130 0.000
Cd1 0.000 0.500 0.500
Pb1 0.000 0.000 0.500
Pb2 0.017 0.745 0.500
Pb3 0.229 0.382 0.000
# Fermi-level density of states   6.444 states/eV/cell
# Mass density   10.5 g cm⁻³
# Calculated total energy   -3.972 eV/atom
# Magnetic moment   0.00 μB/cell
# ΔH_f (0 K)   -2.88 eV/f.u.


# Sm8Cd2Pb, relaxed, DFT GGA-PBE
data_Sm8Cd2Pb
_chemical_formula_sum 'Sm16 Cd4 Pb2'
_cell_length_a 16.713
_cell_length_b 5.418
_cell_length_c 8.761
_cell_angle_alpha 90.00
_cell_angle_beta 120.78
_cell_angle_gamma 90.00
_space_group_name_H-M_alt 'C 1 2/m 1'
_space_group_IT_number 12
_space_group_name_Hall '-C 2y'
loop_
_atom_site_label
_atom_site_fract_x
_atom_site_fract_y
_atom_site_fract_z
Sm1 0.068 0.000 0.219
Sm2 0.093 0.500 0.955
Sm3 0.142 0.000 0.690
Sm4 0.182 0.500 0.452
Cd1 0.222 0.000 0.110
Pb1 0.000 0.500 0.500
# Fermi-level density of states   20.748 states/eV/cell
# Mass density   8.0 g cm⁻³
# Calculated total energy   -4.145 eV/atom
# Magnetic moment   0.00 μB/cell
# ΔH_f (0 K)   -2.30 eV/f.u.


# Sm2Cd3Pb3, relaxed, DFT GGA-PBE
data_Sm2Cd3Pb3
_chemical_formula_sum 'Sm2 Cd3 Pb3'
_cell_length_a 4.724
_cell_length_b 4.919
_cell_length_c 9.204
_cell_angle_alpha 90.00
_cell_angle_beta 90.00
_cell_angle_gamma 90.00
_space_group_name_H-M_alt 'P m m m'
_space_group_IT_number 47
_space_group_name_Hall '-P 2 2'
loop_
_atom_site_label
_atom_site_fract_x
_atom_site_fract_y
_atom_site_fract_z
Sm1 0.000 0.000 0.248
Cd1 0.000 0.500 0.500
Cd2 0.500 0.500 0.263
Pb1 0.000 0.500 0.000
Pb2 0.500 0.000 0.000
Pb3 0.500 0.000 0.500
# Fermi-level density of states   3.796 states/eV/cell
# Mass density   9.8 g cm⁻³
# Calculated total energy   -3.279 eV/atom
# Magnetic moment   0.00 μB/cell
# ΔH_f (0 K)   -2.92 eV/f.u.


# SmCd2Pb3, relaxed, DFT GGA-PBE
data_SmCd2Pb3
_chemical_formula_sum 'Sm2 Cd4 Pb6'
_cell_length_a 4.787
_cell_length_b 15.071
_cell_length_c 4.615
_cell_angle_alpha 90.00
_cell_angle_beta 90.00
_cell_angle_gamma 90.00
_space_group_name_H-M_alt 'C m m m'
_space_group_IT_number 65
_space_group_name_Hall '-C 2 2'
loop_
_atom_site_label
_atom_site_fract_x
_atom_site_fract_y
_atom_site_fract_z
Sm1 0.000 0.000 0.000
Cd1 0.000 0.335 0.000
Pb1 0.000 0.170 0.500
Pb2 0.000 0.500 0.500
# Fermi-level density of states   6.768 states/eV/cell
# Mass density   9.9 g cm⁻³
# Calculated total energy   -3.136 eV/atom
# Magnetic moment   0.00 μB/cell
# ΔH_f (0 K)   -1.14 eV/f.u.


# SmCd4Pb, relaxed, DFT GGA-PBE
data_SmCd4Pb
_chemical_formula_sum 'Sm4 Cd16 Pb4'
_cell_length_a 8.494
_cell_length_b 8.494
_cell_length_c 8.494
_cell_angle_alpha 90.00
_cell_angle_beta 90.00
_cell_angle_gamma 90.00
_space_group_name_H-M_alt 'F -4 3 m'
_space_group_IT_number 216
_space_group_name_Hall 'F -4 2 3'
loop_
_atom_site_label
_atom_site_fract_x
_atom_site_fract_y
_atom_site_fract_z
Sm1 0.000 0.000 0.000
Cd1 0.125 0.125 0.375
Pb1 0.250 0.250 0.750
# Fermi-level density of states   7.889 states/eV/cell
# Mass density   8.8 g cm⁻³
# Calculated total energy   -2.150 eV/atom
# Magnetic moment   0.00 μB/cell
# ΔH_f (0 K)   -0.81 eV/f.u.
# Relative energy among the computed polymorphs   90 meV per atom